DFT (PBE) results for AsPbS2Cl after structural relaxation.

Formation energy (no corrections)   612 meV/atom
Offset from the most stable computed form   713.5 meV/atom
Density   4.37 Mg/m³

Lattice parameters (Å, degrees): 5.266 5.266 5.233 90.00 90.00 90.00
Positions (direct):
Pb (0.000, 0.000, 0.000)
As (0.500, 0.500, 0.500)
S (0.000, 0.500, 0.000)
S (0.500, 0.000, 0.000)
Cl (0.000, 0.000, 0.500)